[1]
DFT (PBE) results for a geometry-optimized Tb12PmHo2 structure.

Values from the calculation:
Volume, Å³/f.u.: 486
Formation energy, meV per atom: 111
Total moment, μB/atom: 0.0000

abc: 6.6363 6.6363 24.4036
angles: 92.23 92.23 115.04
Fractional coordinates of all 30 atoms:
Tb 0.0544 0.5443 0.2021
Tb 0.0799 0.5844 0.3297
Tb 0.1381 0.6381 0.5555
Tb 0.1429 0.1429 0.5744
Tb 0.2158 0.2158 0.8590
Tb 0.2328 0.7325 0.9256
Tb 0.2675 0.7672 0.0744
Tb 0.2827 0.2827 0.1357
Tb 0.3570 0.3570 0.4244
Tb 0.3619 0.8619 0.4445
Tb 0.4156 0.9201 0.6703
Tb 0.4557 0.9456 0.7979
Tb 0.5443 0.0544 0.2021
Tb 0.5844 0.0799 0.3297
Tb 0.6381 0.1381 0.5555
Tb 0.6430 0.6430 0.5756
Tb 0.7173 0.7173 0.8643
Tb 0.7325 0.2328 0.9256
Tb 0.7672 0.2675 0.0744
Tb 0.7842 0.7842 0.1410
Tb 0.8571 0.8571 0.4256
Tb 0.8619 0.3619 0.4445
Tb 0.9201 0.4156 0.6703
Tb 0.9456 0.4557 0.7979
Pm 0.2495 0.2495 0.9980
Pm 0.7505 0.7505 0.0020
Ho 0.0698 0.0698 0.2724
Ho 0.4350 0.4350 0.7277
Ho 0.5650 0.5650 0.2723
Ho 0.9302 0.9302 0.7276

=====

[2]
DFT (PBE) results for a geometry-optimized KLiPb2 structure.

Values from the calculation:
Volume, Å³/f.u.: 117
Formation energy, meV per atom: -207
Total moment, μB/atom: 0.0000

abc: 3.7556 3.7556 8.3258
angles: 90.00 90.00 90.00
Fractional coordinates of all 4 atoms:
K 0.0000 0.0000 0.0000
Li 0.0000 0.0000 0.5000
Pb 0.5000 0.5000 0.3123
Pb 0.5000 0.5000 0.6877

=====

[3]
DFT (PBE) results for a geometry-optimized Tm2In3Pb3 structure.

Values from the calculation:
Volume, Å³/f.u.: 214
Formation energy, meV per atom: -268
Total moment, μB/atom: 0.0000

abc: 4.5947 5.0775 9.1926
angles: 90.00 90.00 90.00
Fractional coordinates of all 8 atoms:
Tm 0.0000 0.0000 0.2454
Tm 0.0000 0.0000 0.7546
In 0.0000 0.5000 0.0000
In 0.5000 0.5000 0.2420
In 0.5000 0.5000 0.7580
Pb 0.0000 0.5000 0.5000
Pb 0.5000 0.0000 0.0000
Pb 0.5000 0.0000 0.5000

=====

[4]
DFT (PBE) results for a geometry-optimized Re2BrF structure.

Values from the calculation:
Volume, Å³/f.u.: 72
E_form (uncorrected), eV/atom: 1.722
Total moment, μB/atom: 0.0000

abc: 6.0461 6.0461 6.0461
angles: 124.61 124.61 82.18
Fractional coordinates of all 8 atoms:
Re 0.1056 0.6250 0.9806
Re 0.3750 0.3556 0.4806
Re 0.6444 0.1250 0.0194
Re 0.8750 0.8944 0.5194
Br 0.2500 0.7500 0.5000
Br 0.5000 0.5000 0.0000
F 0.0000 0.0000 0.0000
F 0.7500 0.2500 0.5000

=====

[5]
DFT (PBE) results for a geometry-optimized KPt structure.

Values from the calculation:
Volume, Å³/f.u.: 64
Formation energy, meV per atom: 19
Total moment, μB/atom: 0.0000

abc: 3.6350 3.6350 9.7189
angles: 90.00 90.00 90.00
Fractional coordinates of all 4 atoms:
K 0.2500 0.2500 0.2182
K 0.7500 0.7500 0.7818
Pt 0.2500 0.2500 0.5294
Pt 0.7500 0.7500 0.4706

=====

[6]
DFT (PBE) results for a geometry-optimized K3LaMo structure.

Values from the calculation:
Volume, Å³/f.u.: 287
Formation energy, meV per atom: 1498
Total moment, μB/atom: 0.5787

abc: 6.5951 6.5951 6.5951
angles: 90.00 90.00 90.00
Fractional coordinates of all 5 atoms:
K 0.0000 0.0000 0.5000
K 0.0000 0.5000 0.0000
K 0.5000 0.0000 0.0000
La 0.5000 0.5000 0.5000
Mo 0.0000 0.0000 0.0000